This record from Alexandria via LeMat-Bulk describes a relaxed structure of KTl2InPb. The functional is PBE.

Lattice parameters (Å, degrees): 7.6808 7.6808 7.6808 141.37 140.87 56.16
Fractional positions:
1 K 0.0000 0.0000 0.0000
2 Tl 0.6127 0.6127 0.0000
3 Tl 0.7503 0.2503 0.5000
4 In 0.2493 0.7493 0.5000
5 Pb 0.3865 0.3865 0.0000

Results
Space-group type: Imm2 (44)
Energy relative to the elements: -0.064 eV/atom
Total magnetization: 0.000 Bohr magnetons per cell